Below is an optimized crystal structure of Er2Mn17B2, with properties calculated at the PBE level.

Computed properties:
Electronic total energy ... -8.54 eV/atom
SG ... C2/m (12)
Energy relative to the elements ... -0.05 eV per atom

a b c (Å): 6.440 6.430 6.430
angles (deg): 83.36 83.77 83.77
Each line ends with the local moment (μB).
Element x y z (fractional)
Er (0.346, 0.357, 0.357)  -0.11
Er (0.654, 0.643, 0.643)  -0.11
Mn (0.102, 0.106, 0.106)  -2.44
Mn (0.898, 0.894, 0.894)  -2.44
Mn (0.000, 0.277, 0.723)  -1.70
Mn (0.728, 0.006, 0.276)  0.26
Mn (0.272, 0.724, 0.994)  0.26
Mn (0.272, 0.994, 0.724)  0.26
Mn (0.728, 0.276, 0.006)  0.26
Mn (0.000, 0.723, 0.277)  -1.70
Mn (0.664, 0.666, 0.143)  1.42
Mn (0.133, 0.651, 0.651)  2.41
Mn (0.664, 0.143, 0.666)  1.42
Mn (0.336, 0.334, 0.857)  1.42
Mn (0.867, 0.349, 0.349)  2.41
Mn (0.336, 0.857, 0.334)  1.42
Mn (0.500, 0.000, 0.000)  -0.99
Mn (0.000, 0.500, 0.000)  0.10
Mn (0.000, 0.000, 0.500)  0.10
B (0.500, 0.000, 0.500)  -0.07
B (0.500, 0.500, 0.000)  -0.07